No. 1
Here is a relaxed Pr6Dy5Ho crystal from the Alexandria database. Energies are from PBE-GGA.

Cell and atoms, written as POSCAR:
```
Pr6Dy5Ho
1.0
3.1523 -5.4599 0.0000
3.1523 5.4599 0.0000
-2.0956 0.0000 11.7006
Pr Dy Ho
6 5 1
Direct
0.0836 0.4167 0.7502 Pr
0.2499 0.2499 0.2498 Pr
0.4167 0.0836 0.7502 Pr
0.5833 0.9164 0.2498 Pr
0.7501 0.7501 0.7502 Pr
0.9164 0.5833 0.2498 Pr
0.0000 0.0000 0.5000 Dy
0.1667 0.8333 0.0000 Dy
0.3334 0.6666 0.5000 Dy
0.6666 0.3334 0.5000 Dy
0.8333 0.1667 0.0000 Dy
0.5000 0.5000 0.0000 Ho
```

Results
raw total energy: -4.6777 eV per atom
space group: No. 12
ΔE to the lowest computed polymorph: 0.0 meV per atom
DFT formation energy: 0.01 eV per atom

---

No. 2
Here is a relaxed MgAgAs2 crystal from the Alexandria database. Energies are from PBE-GGA.

Cell and atoms, written as POSCAR:
```
MgAgAs2
1.0
4.3241 0.0000 0.0000
0.0000 4.5336 0.0000
0.0000 0.0000 7.8579
Mg Ag As
2 2 4
Direct
0.0000 0.0000 0.0000 Mg
0.5000 0.5000 0.0000 Mg
0.0000 0.0000 0.5000 Ag
0.5000 0.5000 0.5000 Ag
0.0000 0.5000 0.2421 As
0.0000 0.5000 0.7579 As
0.5000 0.0000 0.2421 As
0.5000 0.0000 0.7579 As
```

Results
raw total energy: -3.4301 eV per atom
space group: No. 65
DFT formation energy: 0.01 eV per atom

---

No. 3
Here is a relaxed CaZn3GaAu crystal from the Alexandria database. Energies are from PBE-GGA.

Cell and atoms, written as POSCAR:
```
CaZn3GaAu
1.0
3.2028 -6.5225 0.0000
3.2028 6.5225 0.0000
0.0000 0.0000 5.7012
Ca Zn Ga Au
2 6 2 2
Direct
0.2087 0.7913 0.7500 Ca
0.7913 0.2087 0.2500 Ca
0.1943 0.1943 0.0000 Zn
0.1943 0.1943 0.5000 Zn
0.3642 0.6358 0.2500 Zn
0.6358 0.3642 0.7500 Zn
0.8057 0.8057 0.0000 Zn
0.8057 0.8057 0.5000 Zn
0.4289 0.5711 0.7500 Ga
0.5711 0.4289 0.2500 Ga
0.1625 0.8375 0.2500 Au
0.8375 0.1625 0.7500 Au
```

Results
raw total energy: -2.2294 eV per atom
space group: No. 63
DFT formation energy: -0.21 eV per atom

---

No. 4
Here is a relaxed HoTmPaSn crystal from the Alexandria database. Energies are from PBE-GGA.

Cell and atoms, written as POSCAR:
```
HoTmPaSn
1.0
7.4972 0.0000 0.0000
0.0000 7.4972 0.0000
0.0000 0.0000 7.4972
Ho Tm Pa Sn
4 4 4 4
Direct
0.0000 0.0000 0.0000 Ho
0.0000 0.5000 0.5000 Ho
0.5000 0.0000 0.5000 Ho
0.5000 0.5000 0.0000 Ho
0.0000 0.0000 0.5000 Tm
0.0000 0.5000 0.0000 Tm
0.5000 0.0000 0.0000 Tm
0.5000 0.5000 0.5000 Tm
0.2500 0.2500 0.2500 Pa
0.2500 0.7500 0.7500 Pa
0.7500 0.2500 0.7500 Pa
0.7500 0.7500 0.2500 Pa
0.2500 0.2500 0.7500 Sn
0.2500 0.7500 0.2500 Sn
0.7500 0.2500 0.2500 Sn
0.7500 0.7500 0.7500 Sn
```

Results
raw total energy: -5.6132 eV per atom
space group: No. 216
DFT formation energy: 0.02 eV per atom

---

No. 5
Here is a relaxed La6P2CS3 crystal from the Alexandria database. Energies are from PBE-GGA.

Cell and atoms, written as POSCAR:
```
La6P2CS3
1.0
9.0982 -2.0713 0.0000
9.0982 2.0713 0.0000
-1.9796 0.0000 8.1609
La P C S
6 2 1 3
Direct
0.0001 0.0001 0.2227 La
0.9999 0.9999 0.7773 La
0.3335 0.3335 0.4188 La
0.3449 0.3449 0.9204 La
0.6551 0.6551 0.0796 La
0.6665 0.6665 0.5812 La
0.1661 0.1661 0.3332 P
0.8339 0.8339 0.6668 P
0.5000 0.5000 0.0000 C
0.1686 0.1686 0.8344 S
0.5000 0.5000 0.5000 S
0.8314 0.8314 0.1656 S
```

Results
raw total energy: -6.8045 eV per atom
space group: No. 12
ΔE_f (raw): -19.7 eV per formula unit

---

No. 6
Here is a relaxed RbNa3Pt crystal from the Alexandria database. Energies are from PBE-GGA.

Cell and atoms, written as POSCAR:
```
RbNa3Pt
1.0
8.9633 -5.4924 0.0000
8.9633 5.4924 0.0000
-1.4855 0.0000 6.8733
Rb Na Pt
4 12 4
Direct
0.0625 0.9375 0.7500 Rb
0.3704 0.6296 0.2500 Rb
0.6296 0.3704 0.7500 Rb
0.9375 0.0625 0.2500 Rb
0.0063 0.3544 0.5775 Na
0.0133 0.6437 0.9109 Na
0.3333 0.3358 0.4069 Na
0.3358 0.3333 0.9069 Na
0.3544 0.0063 0.0775 Na
0.3563 0.9867 0.5891 Na
0.6437 0.0133 0.4109 Na
0.6456 0.9937 0.9225 Na
0.6642 0.6667 0.0931 Na
0.6667 0.6642 0.5931 Na
0.9867 0.3563 0.0891 Na
0.9937 0.6456 0.4225 Na
0.2569 0.5921 0.7067 Pt
0.4079 0.7431 0.7933 Pt
0.5921 0.2569 0.2067 Pt
0.7431 0.4079 0.2933 Pt
```

Results
raw total energy: -2.2010 eV per atom
space group: No. 15
ΔE to the lowest computed polymorph: 0.0 meV per atom
DFT formation energy: -0.01 eV per atom

---

No. 7
Here is a relaxed Gd2PuI crystal from the Alexandria database. Energies are from PBE-GGA.

Cell and atoms, written as POSCAR:
```
Gd2PuI
1.0
3.6151 0.0000 0.0000
0.0000 3.6151 0.0000
0.0000 0.0000 9.3328
Gd Pu I
2 1 1
Direct
0.0000 0.0000 0.2493 Gd
0.0000 0.0000 0.7507 Gd
0.5000 0.5000 0.0000 Pu
0.5000 0.5000 0.5000 I
```

Results
raw total energy: -11.2315 eV per atom
space group: No. 123
ΔE to the lowest computed polymorph: 56.8 meV per atom
ΔE_f (raw): -0.9 eV per formula unit

---

No. 8
Here is a relaxed Dy2Te5 crystal from the Alexandria database. Energies are from PBE-GGA.

Cell and atoms, written as POSCAR:
```
Dy2Te5
1.0
2.1898 -22.2213 0.0000
2.1898 22.2213 0.0000
0.0000 0.0000 4.3803
Dy Te
4 10
Direct
0.1026 0.8974 0.7500 Dy
0.3052 0.6948 0.7500 Dy
0.6948 0.3052 0.2500 Dy
0.8974 0.1026 0.2500 Dy
0.0469 0.9531 0.2500 Te
0.1747 0.8253 0.7500 Te
0.2500 0.7500 0.2500 Te
0.3764 0.6236 0.7500 Te
0.4532 0.5468 0.2500 Te
0.5468 0.4532 0.7500 Te
0.6236 0.3764 0.2500 Te
0.7500 0.2500 0.7500 Te
0.8253 0.1747 0.2500 Te
0.9531 0.0469 0.7500 Te
```

Results
raw total energy: -4.5832 eV per atom
space group: No. 63
ΔE_f (raw): -7.2 eV per formula unit

---

No. 9
Here is a relaxed Cr2BPb crystal from the Alexandria database. Energies are from PBE-GGA.

Cell and atoms, written as POSCAR:
```
Cr2BPb
1.0
4.4481 0.0000 0.0000
0.0000 4.4481 0.0000
0.0000 0.0000 14.1287
Cr B Pb
8 4 4
Direct
0.0432 0.7500 0.1250 Cr
0.2500 0.0432 0.8750 Cr
0.2500 0.4568 0.3750 Cr
0.4568 0.7500 0.6250 Cr
0.5432 0.2500 0.6250 Cr
0.7500 0.5432 0.3750 Cr
0.7500 0.9568 0.8750 Cr
0.9568 0.2500 0.1250 Cr
0.0000 0.0000 0.0000 B
0.0000 0.5000 0.2500 B
0.5000 0.0000 0.7500 B
0.5000 0.5000 0.5000 B
0.0000 0.0000 0.5000 Pb
0.0000 0.5000 0.7500 Pb
0.5000 0.0000 0.2500 Pb
0.5000 0.5000 0.0000 Pb
```

Results
raw total energy: -6.4218 eV per atom
space group: No. 122
ΔE to the lowest computed polymorph: 0.0 meV per atom
DFT formation energy: 0.99 eV per atom

---

No. 10
Here is a relaxed NbCuTe3 crystal from the Alexandria database. Energies are from PBE-GGA.

Cell and atoms, written as POSCAR:
```
NbCuTe3
1.0
5.3883 0.0000 0.0000
0.0000 5.3883 0.0000
0.0000 0.0000 5.3883
Nb Cu Te
1 1 3
Direct
0.0000 0.0000 0.0000 Nb
0.5000 0.5000 0.5000 Cu
0.0000 0.0000 0.5000 Te
0.0000 0.5000 0.0000 Te
0.5000 0.0000 0.0000 Te
```

Results
raw total energy: -4.1927 eV per atom
space group: No. 221
ΔE to the lowest computed polymorph: 725.9 meV per atom
ΔE_f (raw): 2.6 eV per formula unit

---

No. 11
Here is a relaxed TiSiPd crystal from the Alexandria database. Energies are from PBE-GGA.

Cell and atoms, written as POSCAR:
```
TiSiPd
1.0
6.4432 0.0000 0.0000
0.0000 3.7848 0.0000
-0.0510 0.0000 11.0499
Ti Si Pd
6 6 6
Direct
0.0247 0.2500 0.2102 Ti
0.3468 0.7500 0.5798 Ti
0.4670 0.7500 0.8813 Ti
0.5330 0.2500 0.1187 Ti
0.6532 0.2500 0.4202 Ti
0.9753 0.7500 0.7898 Ti
0.2478 0.7500 0.0865 Si
0.2488 0.2500 0.4176 Si
0.2661 0.2500 0.7514 Si
0.7339 0.7500 0.2486 Si
0.7512 0.7500 0.5824 Si
0.7522 0.2500 0.9135 Si
0.0092 0.2500 0.5923 Pd
0.1474 0.2500 0.9598 Pd
0.3707 0.7500 0.2948 Pd
0.6293 0.2500 0.7052 Pd
0.8526 0.7500 0.0402 Pd
0.9908 0.7500 0.4077 Pd
```

Results
raw total energy: -7.0058 eV per atom
space group: No. 11
ΔE_f (raw): -2.5 eV per formula unit

---

No. 12
Here is a relaxed Sr2SbRu crystal from the Alexandria database. Energies are from PBE-GGA.

Cell and atoms, written as POSCAR:
```
Sr2SbRu
1.0
3.4975 0.0000 0.0000
0.0000 3.4975 0.0000
0.0000 0.0000 9.0803
Sr Sb Ru
2 1 1
Direct
0.0000 0.0000 0.2189 Sr
0.0000 0.0000 0.7811 Sr
0.5000 0.5000 0.5000 Sb
0.5000 0.5000 0.0000 Ru
```

Results
raw total energy: -4.1612 eV per atom
space group: No. 123
ΔE_f (raw): 0.1 eV per formula unit

---

Question: raw total energy of number 5 (La6P2CS3)?
Answer: -6.8045 eV per atom